Entry 1:
Here is a geometry-optimized Nb4CrS8 structure from the Alexandria database. Energies are from GGA-PBEsol.

Summary:
Its space group is No. 194. The uncorrected formation energy comes out at -1177 meV per atom. For the density of states at the Fermi level, the calculation gives 2.93 states/eV/f.u. As for the calculated volume: 445 Å³/cell. As for the crystal system: hexagonal.

```
Nb4CrS8
1.0
6.600 0.000 0.000
-3.300 5.716 0.000
0.000 0.000 11.783
Nb Cr S
8 2 16
Direct
0.000 0.000 0.250
0.000 0.000 0.750
0.012 0.506 0.250
0.494 0.506 0.250
0.494 0.988 0.250
0.506 0.012 0.750
0.506 0.494 0.750
0.988 0.494 0.750
0.000 0.000 0.000
0.000 0.000 0.500
0.167 0.333 0.617
0.167 0.333 0.883
0.167 0.833 0.617
0.167 0.833 0.883
0.333 0.167 0.117
0.333 0.167 0.383
0.333 0.667 0.113
0.333 0.667 0.387
0.667 0.333 0.613
0.667 0.333 0.887
0.667 0.833 0.617
0.667 0.833 0.883
0.833 0.167 0.117
0.833 0.167 0.383
0.833 0.667 0.117
0.833 0.667 0.383
```


Entry 2:
Here is a geometry-optimized BaRe2Cl structure from the Alexandria database. Energies are from GGA-PBEsol.

Summary:
Its space group is No. 216. The uncorrected formation energy comes out at 1236 meV per atom. For the density of states at the Fermi level, the calculation gives 3.10 states/eV/f.u. As for the calculated volume: 78 Å³/cell. As for the crystal system: cubic.

```
BaRe2Cl
1.0
0.000 3.385 3.385
3.385 0.000 3.385
3.385 3.385 0.000
Ba Re Cl
1 2 1
Direct
0.000 0.000 0.000
0.500 0.500 0.500
0.750 0.750 0.750
0.250 0.250 0.250
```


Entry 3:
Here is a geometry-optimized MgInHg2 structure from the Alexandria database. Energies are from GGA-PBEsol.

Summary:
Its space group is No. 119. Its formation energy is -0.531 eV per formula unit. For the density of states at the Fermi level, the calculation gives 1.45 states/eV/f.u. As for the calculated volume: 89 Å³/cell. As for the crystal system: tetragonal.

```
MgInHg2
1.0
-2.157 2.157 4.801
2.157 -2.157 4.801
2.157 2.157 -4.801
Mg In Hg
1 1 2
Direct
0.000 0.000 0.000
0.250 0.750 0.500
0.500 0.500 0.000
0.750 0.250 0.500
```


Entry 4:
Here is a geometry-optimized CrTcW2 structure from the Alexandria database. Energies are from GGA-PBEsol.

Summary:
Its space group is No. 160. Its formation energy is 1.479 eV per formula unit. For the density of states at the Fermi level, the calculation gives 4.27 states/eV/f.u. As for the calculated volume: 58 Å³/cell. As for the crystal system: trigonal.

```
CrTcW2
1.0
1.370 0.791 8.899
-1.370 0.791 8.899
0.000 -1.582 8.899
Cr Tc W
1 1 2
Direct
0.000 0.000 0.000
0.260 0.260 0.260
0.507 0.507 0.507
0.749 0.749 0.749
```


Entry 5:
Here is a geometry-optimized AsRuCl3 structure from the Alexandria database. Energies are from GGA-PBEsol.

Summary:
Its space group is No. 221. The uncorrected formation energy comes out at 345 meV per atom. For the density of states at the Fermi level, the calculation gives 4.09 states/eV/f.u. As for the calculated volume: 99 Å³/cell. As for the crystal system: cubic.

```
AsRuCl3
1.0
4.628 0.000 0.000
0.000 4.628 0.000
0.000 0.000 4.628
As Ru Cl
1 1 3
Direct
0.000 0.000 0.000
0.500 0.500 0.500
0.000 0.500 0.500
0.500 0.000 0.500
0.500 0.500 0.000
```


Entry 6:
Here is a geometry-optimized La3YSe structure from the Alexandria database. Energies are from GGA-PBEsol.

Summary:
Its space group is No. 221. The uncorrected formation energy comes out at 445 meV per atom. For the density of states at the Fermi level, the calculation gives 7.30 states/eV/f.u. As for the calculated volume: 174 Å³/cell. As for the crystal system: cubic.

```
La3YSe
1.0
5.588 0.000 0.000
0.000 5.588 0.000
0.000 0.000 5.588
La Y Se
3 1 1
Direct
0.000 0.000 0.500
0.000 0.500 0.000
0.500 0.000 0.000
0.000 0.000 0.000
0.500 0.500 0.500
```


Entry 7:
Here is a geometry-optimized Al2SnHg structure from the Alexandria database. Energies are from GGA-PBEsol.

Summary:
Its space group is No. 122. Its formation energy is 0.712 eV per formula unit. For the density of states at the Fermi level, the calculation gives 2.18 states/eV/f.u. As for the calculated volume: 174 Å³/cell. As for the crystal system: tetragonal.

```
Al2SnHg
1.0
-3.839 3.839 2.947
3.839 -3.839 2.947
3.839 3.839 -2.947
Al Sn Hg
4 2 2
Direct
0.116 0.125 0.491
0.375 0.884 0.009
0.634 0.625 0.509
0.875 0.366 0.991
0.250 0.750 0.500
0.500 0.500 0.000
0.000 0.000 0.000
0.750 0.250 0.500
```


Entry 8:
Here is a geometry-optimized ScCdRh2 structure from the Alexandria database. Energies are from GGA-PBEsol.

Summary:
Its space group is No. 160. Its formation energy is -0.018 eV per formula unit. For the density of states at the Fermi level, the calculation gives 5.69 states/eV/f.u. As for the calculated volume: 67 Å³/cell. As for the crystal system: trigonal.

```
ScCdRh2
1.0
1.472 0.850 8.895
-1.472 0.850 8.895
0.000 -1.700 8.895
Sc Cd Rh
1 1 2
Direct
0.000 0.000 0.000
0.764 0.764 0.764
0.261 0.261 0.261
0.514 0.514 0.514
```